1.
Below is Cr2RhPb at its PBEsol-relaxed geometry, with properties calculated at the SCAN level.

Cell: 3.8538 4.0716 4.0716 Å, 90.00 90.00 90.00°
Sites, in units of the cell vectors:
Cr 0.0000 0.0000 0.5000
Cr 0.0000 0.5000 0.0000
Pb 0.5000 0.5000 0.5000
Rh 0.5000 0.0000 0.0000

Values from the calculation:
- space-group type = No. 123

2.
Below is KTiCrIn2 at its PBEsol-relaxed geometry, with properties calculated at the SCAN level.

Cell: 4.2583 5.2467 5.2467 Å, 90.00 90.00 90.00°
Sites, in units of the cell vectors:
Cr 0.0000 0.0000 0.0000
K 0.5000 0.5000 0.5000
Ti 0.5000 0.0000 0.0000
In 0.0000 0.0000 0.5000
In 0.0000 0.5000 0.0000

Values from the calculation:
- space-group type = No. 123

3.
Below is NiOsRh2 at its PBEsol-relaxed geometry, with properties calculated at the SCAN level.

Cell: 2.6559 2.6559 8.6429 Å, 81.16 81.16 60.00°
Sites, in units of the cell vectors:
Rh 0.9991 0.9991 0.0027
Rh 0.7529 0.7529 0.7414
Os 0.2473 0.2473 0.2582
Ni 0.5008 0.5008 0.4977

Values from the calculation:
- space-group type = No. 160
- energy relative to the lowest polymorph listed for this composition (eV/atom) = 0.0387

| no. | total DFT energy (no corrections) (eV per formula unit) | total moment (μB per formula unit) |
| --- | --- | --- |
| 1 | -145.71 | 7.4 |
| 2 | -108.33 | 0.0 |
| 3 | -155.25 | 1.0 |